Entry from the Alexandria database: an optimized crystal structure of NaCaIn2Os (PBEsol).

For the total energy, the calculation gives -2.421 eV/atom. For the energy relative to the elements, the calculation gives 1922 meV per atom.

The space group is P4/mmm (No. 123) and the conventional cell measures 5.469, 5.469 and 4.985 Å, with angles of 90.00, 90.00 and 90.00 degrees. The asymmetric unit holds Na at (0.000, 0.000, 0.000), Ca at (0.000, 0.000, 0.500), In at (0.000, 0.500, 0.500) and Os at (0.500, 0.500, 0.000).